1.
CsRbCdAu | PBE | relaxed

The density of states at the Fermi level is 2.9 states/eV/f.u. The formation energy comes out at -205 meV/atom. The calculation puts the relative energy among the computed polymorphs at 0 meV per atom. For the calculated volume, the calculation gives 403 Å³/cell. The final energy comes out at -0.06280 Ha/atom.

The space group is Cm (No. 8) and the conventional cell measures 8.700, 5.025 and 9.683 Å, with angles of 90.00, 107.64 and 90.00 degrees. Symmetry generates all atoms from Cs at (0.000, 0.000, 0.000), Rb at (0.173, 0.000, 0.515), Cd at (0.257, 0.500, 0.269) and Au at (0.423, 0.000, 0.267).

=====

2.
CsRb2CdAu2 | PBE | relaxed

The density of states at the Fermi level is 3.1 states/eV/f.u. The formation energy comes out at -218 meV/atom. For the calculated volume, the calculation gives 481 Å³/cell. The final energy comes out at -0.07084 Ha/atom.

The space group is Pmc2_1 (No. 26) and the conventional cell measures 4.983, 9.947 and 9.710 Å, with angles of 90.00, 90.00 and 90.00 degrees. Symmetry generates all atoms from Cs at (0.000, 0.061, 0.000), Rb at (0.000, 0.306, 0.404), Rb at (0.500, 0.417, 0.068), Cd at (0.500, 0.215, 0.721), Au at (0.000, 0.359, 0.764) and Au at (0.500, 0.086, 0.265).

=====

3.
Cs4Rb2Cd2Au | PBE | relaxed

The density of states at the Fermi level is 6.1 states/eV/f.u. The formation energy comes out at -57 meV/atom. For the calculated volume, the calculation gives 1186 Å³/cell. The final energy comes out at -0.04478 Ha/atom.

The space group is C2/m (No. 12) and the conventional cell measures 16.129, 9.526 and 7.909 Å, with angles of 90.00, 102.56 and 90.00 degrees. Symmetry generates all atoms from Cs at (0.107, 0.236, 0.286), Rb at (0.160, 0.500, 0.834), Cd at (0.141, 0.000, 0.782) and Au at (0.000, 0.000, 0.500).

=====

4.
Cs2Rb4CdAu2 | PBE | relaxed

The density of states at the Fermi level is 4.2 states/eV/f.u. The formation energy comes out at -149 meV/atom. For the calculated volume, the calculation gives 535 Å³/cell. The final energy comes out at -0.05875 Ha/atom.

The space group is P-1 (No. 2) and the conventional cell measures 6.201, 9.036 and 10.847 Å, with angles of 73.32, 73.60 and 69.94 degrees. Symmetry generates all atoms from Cs at (0.148, 0.460, 0.246), Rb at (0.153, 0.789, 0.904), Rb at (0.403, 0.826, 0.369), Cd at (0.500, 0.000, 0.000) and Au at (0.369, 0.345, 0.917).

=====

5.
CsRb2CdAu | PBE | relaxed

The density of states at the Fermi level is 2.6 states/eV/f.u. The formation energy comes out at -88 meV/atom. The calculation puts the relative energy among the computed polymorphs at 0 meV per atom. For the calculated volume, the calculation gives 263 Å³/cell. The final energy comes out at -0.05453 Ha/atom.

The space group is P4/mmm (No. 123) and the conventional cell measures 6.847, 6.847 and 5.605 Å, with angles of 90.00, 90.00 and 90.00 degrees. Symmetry generates all atoms from Cs at (0.000, 0.000, 0.000), Rb at (0.000, 0.500, 0.500), Cd at (0.500, 0.500, 0.000) and Au at (0.500, 0.500, 0.500).

=====

6.
Cs4Rb2CdAu2 | PBE | relaxed

The density of states at the Fermi level is 5.9 states/eV/f.u. The formation energy comes out at -136 meV/atom. For the calculated volume, the calculation gives 653 Å³/cell. The final energy comes out at -0.05735 Ha/atom.

The space group is P-1 (No. 2) and the conventional cell measures 7.046, 9.326 and 10.922 Å, with angles of 74.71, 71.21 and 89.90 degrees. Symmetry generates all atoms from Cs at (0.059, 0.254, 0.381), Cs at (0.276, 0.770, 0.948), Rb at (0.402, 0.307, 0.695), Cd at (0.500, 0.000, 0.500) and Au at (0.431, 0.690, 0.639).

=====

7.
Cs6Rb2CdAu | PBE | relaxed

The density of states at the Fermi level is 12.1 states/eV/f.u. The formation energy comes out at -61 meV/atom. For the calculated volume, the calculation gives 1721 Å³/cell. The final energy comes out at -0.04358 Ha/atom.

The space group is Cm (No. 8) and the conventional cell measures 15.091, 15.098 and 10.669 Å, with angles of 90.00, 134.94 and 90.00 degrees. Symmetry generates all atoms from Cs at (0.000, 0.000, 0.000), Cs at (0.000, 0.000, 0.482), Cs at (0.019, 0.500, 0.000), Cs at (0.020, 0.500, 0.521), Cs at (0.260, 0.260, 0.000), Rb at (0.258, 0.250, 0.498), Cd at (0.260, 0.000, 0.001) and Au at (0.261, 0.500, 0.002).

=====

8.
Cs2Rb4Cd2Au | PBE | relaxed

The density of states at the Fermi level is 6.5 states/eV/f.u. The formation energy comes out at -56 meV/atom. For the calculated volume, the calculation gives 1171 Å³/cell. The final energy comes out at -0.04569 Ha/atom.

The space group is C2/m (No. 12) and the conventional cell measures 17.661, 9.045 and 7.817 Å, with angles of 90.00, 110.30 and 90.00 degrees. Symmetry generates all atoms from Cs at (0.170, 0.000, 0.411), Rb at (0.102, 0.271, 0.853), Cd at (0.102, 0.500, 0.296) and Au at (0.000, 0.500, 0.500).

=====

9.
CsRb2CdAu | PBE | relaxed

The density of states at the Fermi level is 2.9 states/eV/f.u. The formation energy comes out at 7 meV/atom. The calculation puts the relative energy among the computed polymorphs at 95 meV per atom. For the calculated volume, the calculation gives 274 Å³/cell. The final energy comes out at -0.05105 Ha/atom.

The space group is P4/mmm (No. 123) and the conventional cell measures 7.043, 7.043 and 5.524 Å, with angles of 90.00, 90.00 and 90.00 degrees. Symmetry generates all atoms from Cs at (0.000, 0.000, 0.000), Rb at (0.000, 0.500, 0.500), Cd at (0.500, 0.500, 0.500) and Au at (0.500, 0.500, 0.000).

=====

10.
CsCdAuS2 | PBE | relaxed

The density of states at the Fermi level is 0.0 states/eV/f.u. The energy relative to the elements, uncorrected comes out at -0.729 eV per atom. The calculation puts the relative energy among the computed polymorphs at 0 meV per atom. For the calculated volume, the calculation gives 598 Å³/cell. The final energy comes out at -0.12455 Ha/atom.

The space group is Cmme (No. 67) and the conventional cell measures 6.817, 14.151 and 6.199 Å, with angles of 90.00, 90.00 and 90.00 degrees. Symmetry generates all atoms from Cs at (0.000, 0.250, 0.232), Cd at (0.250, 0.000, 0.500), Au at (0.000, 0.000, 0.000) and S at (0.000, 0.106, 0.710).

=====

11.
CsCdAuS2 | PBE | relaxed

The density of states at the Fermi level is 1.9 states/eV/f.u. The energy relative to the elements, uncorrected comes out at 0.168 eV per atom. The calculation puts the relative energy among the computed polymorphs at 897 meV per atom. For the calculated volume, the calculation gives 164 Å³/cell. The final energy comes out at -0.09159 Ha/atom.

The space group is P4/mmm (No. 123) and the conventional cell measures 4.996, 4.996 and 6.574 Å, with angles of 90.00, 90.00 and 90.00 degrees. Symmetry generates all atoms from Cs at (0.000, 0.000, 0.000), Cd at (0.500, 0.500, 0.000), Au at (0.000, 0.000, 0.500) and S at (0.000, 0.500, 0.500).

=====

12.
CsCdSbAu2 | PBE | relaxed

The density of states at the Fermi level is 1.2 states/eV/f.u. The energy relative to the elements, uncorrected comes out at -0.080 eV per atom. For the calculated volume, the calculation gives 176 Å³/cell. The final energy comes out at -0.09441 Ha/atom.

The space group is P4/mmm (No. 123) and the conventional cell measures 5.453, 5.453 and 5.922 Å, with angles of 90.00, 90.00 and 90.00 degrees. Symmetry generates all atoms from Cs at (0.000, 0.000, 0.000), Cd at (0.500, 0.500, 0.000), Sb at (0.500, 0.500, 0.500) and Au at (0.000, 0.500, 0.500).

=====

13.
Cs2CdSbAu | PBE | relaxed

The density of states at the Fermi level is 3.9 states/eV/f.u. The energy relative to the elements, uncorrected comes out at -0.157 eV per atom. For the calculated volume, the calculation gives 258 Å³/cell. The final energy comes out at -0.07944 Ha/atom.

The space group is P4/mmm (No. 123) and the conventional cell measures 7.001, 7.001 and 5.262 Å, with angles of 90.00, 90.00 and 90.00 degrees. Symmetry generates all atoms from Cs at (0.000, 0.500, 0.000), Cd at (0.000, 0.000, 0.500), Sb at (0.500, 0.500, 0.500) and Au at (0.500, 0.500, 0.000).